# AcPa2CoO8 PBE with a Hubbard U optimized geometry
data_AcPa2CoO8
_chemical_formula_sum 'Ac1 Pa2 Co1 O8'
_cell_length_a 5.1645
_cell_length_b 5.1645
_cell_length_c 6.6950
_cell_angle_alpha 90.00
_cell_angle_beta 90.00
_cell_angle_gamma 120.00
_symmetry_space_group_name_H-M 'P -3 m 1'
_symmetry_Int_Tables_number 164
_symmetry_space_group_name_Hall '-P 3 2"'
loop_
_atom_site_label
_atom_site_fract_x
_atom_site_fract_y
_atom_site_fract_z
Ac1 0.0000 0.0000 0.0000
Pa1 0.3333 0.6667 0.3735
Co1 0.0000 0.0000 0.5000
O1 0.1694 0.3387 0.6612
O2 0.3333 0.6667 0.0826
# - Final energy: -8.436 eV per atom
# - Theoretical density: 9.41 g cm⁻³
# - Magnetization: 0.01 μB per atom